The following is a GGA-PBE calculation of LaAlZnGa after structural relaxation, from the Alexandria database.

DFT total energy (eV per cell): -14.18
Formation enthalpy at 0 K (eV per atom): -0.302
Density (Mg/m³): 5.9

Structure (CIF):
```
data_LaAlZnGa
_chemical_formula_sum 'La1 Al1 Zn1 Ga1'
_cell_length_a 4.9356
_cell_length_b 4.9356
_cell_length_c 4.9356
_cell_angle_alpha 60.00
_cell_angle_beta 60.00
_cell_angle_gamma 60.00
_space_group_name_H-M_alt 'P 1'
_space_group_IT_number 1
loop_
_space_group_symop_operation_xyz
'x,y,z'
loop_
_atom_site_label
_atom_site_type_symbol
_atom_site_fract_x
_atom_site_fract_y
_atom_site_fract_z
Al1 Al 0.5000 0.5000 0.5000
Ga1 Ga 0.2500 0.2500 0.2500
La1 La 0.0000 0.0000 0.0000
Zn1 Zn 0.7500 0.7500 0.7500
```